Entry 1:
LaCr2Cu, optimized geometry, DFT PBEsol; ΔH_f (0 K) = 0.780 eV per atom; D(E_F) = 1.036 states/eV/atom; space group = I4/mmm, No. 139; density = 7.3 g/cm³; crystal system = tetragonal; total magnetic moment = 7.16 μB per cell; ΔE to the lowest computed polymorph = 0.2426 eV/atom
1.0
-0.216 -4.389 1.247
2.371 3.003 2.614
-1.657 1.238 4.072
Cu Cr La
1 2 1
direct
0.500 0.000 0.500
0.250 0.500 0.250
0.750 0.500 0.750
0.000 0.000 0.000

Entry 2:
Li2CdSi, optimized geometry, DFT PBEsol; D(E_F) = 0.251 states/eV/atom; space group = P4/mmm, No. 123; density = 4.0 g/cm³; crystal system = tetragonal; E_form (uncorrected) = -0.75 eV/f.u.; total magnetic moment = 0.00 μB per cell
1.0
-1.878 -1.385 -1.492
0.617 -2.320 1.381
-5.787 1.801 5.613
Cd Si Li
1 1 2
direct
0.500 0.500 0.000
0.500 0.500 0.500
0.000 0.000 0.722
0.000 0.000 0.278

Entry 3:
Li2Cu, optimized geometry, DFT PBEsol; ΔH_f (0 K) = 0.036 eV per atom; D(E_F) = 0.349 states/eV/atom; space group = I4/mmm, No. 139; density = 3.0 g/cm³; crystal system = tetragonal; total magnetic moment = 0.00 μB per cell
1.0
-0.570 -2.503 -0.878
1.928 0.226 -1.896
3.179 -1.025 5.052
Cu Li
1 2
direct
0.500 0.500 0.000
0.851 0.851 0.703
0.149 0.149 0.297

Question: What is the total magnetic moment in the third record?
Answer: 0.00 μB per cell